Entry 1:
{"formula": "BeSi2Ir", "functional": "PBE", "state": "optimized geometry", "raw_formation_energy_ev_per_fu": -0.3, "m_tot_mub_per_fu": 0.0, "cell": [[2.409, -3.583, 0.000], [2.409, 3.583, 0.000], [0.000, 0.000, 2.908]], "species": ["Be", "Si", "Si", "Ir"], "frac_coords": [[0.000, 0.000, 0.000], [0.000, 0.500, 0.500], [0.500, 0.000, 0.500], [0.500, 0.500, 0.000]]}

Entry 2:
{"formula": "LiCa2AlN", "functional": "PBE", "state": "optimized geometry", "raw_formation_energy_ev_per_fu": -1.5, "m_tot_mub_per_fu": 0.0, "cell": [[4.907, 0.000, 0.000], [0.000, 4.907, 0.000], [0.000, 0.000, 4.276]], "species": ["Li", "Ca", "Ca", "Al", "N"], "frac_coords": [[0.000, 0.000, 0.000], [0.000, 0.500, 0.500], [0.500, 0.000, 0.500], [0.500, 0.500, 0.000], [0.000, 0.000, 0.500]]}

no.,VASP energy (eV/atom)
1,-5.931
2,-3.901